Record 1
VASP calculation (GGA-PBE) on a relaxed GaAsHBr2 crystal.

Offset from the most stable computed form (kJ/mol of formula units): 0
Magnetization (μB/cell): 0.00

Unit cell a=5.476 b=5.476 c=3.535 alpha=90.00 beta=90.00 gamma=90.00
Atoms (fractional coordinates):
H  0.000  0.000  0.000
As  0.000  0.000  0.500
Ga  0.500  0.500  0.500
Br  0.000  0.500  0.000
Br  0.500  0.000  0.000

Record 2
VASP calculation (GGA-PBE) on a relaxed Tb3Pr2YTe6 crystal.

Magnetization (μB/cell): 0.00
Formation energy (no corrections) (eV/atom): -1.35

Unit cell a=4.392 b=8.919 c=9.905 alpha=103.12 beta=102.81 gamma=90.00
Atoms (fractional coordinates):
Tb  0.500  0.500  0.000
Tb  0.828  0.165  0.656
Tb  0.172  0.835  0.344
Pr  0.831  0.663  0.661
Pr  0.169  0.337  0.339
Y  0.500  0.000  0.000
Te  0.336  0.926  0.672
Te  0.662  0.591  0.325
Te  0.664  0.074  0.328
Te  0.996  0.247  0.992
Te  0.004  0.753  0.008
Te  0.338  0.409  0.675

Record 3
VASP calculation (GGA-PBE) on a relaxed BeNiRh2 crystal.

Magnetization (μB/cell): 0.00
Formation enthalpy at 0 K (eV/atom): -0.11

Unit cell a=2.688 b=3.588 c=5.053 alpha=90.00 beta=90.00 gamma=90.00
Atoms (fractional coordinates):
Ni  0.500  0.500  0.746
Rh  0.000  0.000  0.980
Rh  0.500  0.500  0.269
Be  0.000  0.000  0.504

Record 4
VASP calculation (GGA-PBE) on a relaxed SiSn3Pd crystal.

Offset from the most stable computed form (kJ/mol of formula units): 104
Magnetization (μB/cell): 0.00
Formation energy (no corrections) (eV/atom): 0.61

Unit cell a=5.114 b=5.114 c=5.114 alpha=90.00 beta=90.00 gamma=90.00
Atoms (fractional coordinates):
Si  0.000  0.000  0.000
Sn  0.000  0.500  0.000
Sn  0.000  0.000  0.500
Sn  0.500  0.000  0.000
Pd  0.500  0.500  0.500

Record 5
VASP calculation (GGA-PBE) on a relaxed CaAcPmAg crystal.

Magnetization (μB/cell): 0.00
Formation enthalpy at 0 K (eV/atom): 0.18

Unit cell a=5.709 b=5.709 c=5.709 alpha=60.00 beta=60.00 gamma=60.00
Atoms (fractional coordinates):
Ac  0.750  0.750  0.750
Ca  0.500  0.500  0.500
Ag  0.250  0.250  0.250
Pm  0.000  0.000  0.000

Record 6
VASP calculation (GGA-PBE) on a relaxed Ac12Ge3Ru5 crystal.

Magnetization (μB/cell): 0.00
Formation enthalpy at 0 K (eV/atom): -0.15

Unit cell a=15.503 b=15.503 c=15.503 alpha=109.47 beta=109.47 gamma=109.47
Atoms (fractional coordinates):
Ge  0.750  0.375  0.125
Ge  0.875  0.750  0.125
Ge  0.375  0.750  0.625
Ge  0.250  0.125  0.375
Ge  0.875  0.125  0.250
Ge  0.375  0.625  0.250
Ge  0.625  0.375  0.750
Ge  0.125  0.875  0.750
Ge  0.750  0.875  0.625
Ge  0.625  0.250  0.375
Ge  0.125  0.250  0.875
Ge  0.250  0.625  0.875
Ru  0.125  0.375  0.250
Ru  0.000  0.500  0.000
Ru  0.000  0.000  0.000
Ru  0.375  0.250  0.125
Ru  0.500  0.000  0.500
Ru  0.500  0.500  0.000
Ru  0.125  0.750  0.375
Ru  0.750  0.125  0.875
Ru  0.750  0.625  0.375
Ru  0.375  0.125  0.750
Ru  0.625  0.875  0.250
Ru  0.500  0.500  0.500
Ru  0.500  0.000  0.000
Ru  0.000  0.000  0.500
Ru  0.250  0.375  0.625
Ru  0.250  0.875  0.125
Ru  0.000  0.500  0.500
Ru  0.875  0.250  0.625
Ru  0.625  0.750  0.875
Ru  0.875  0.625  0.750
Ac  0.709  0.126  0.031
Ac  0.322  0.531  0.406
Ac  0.969  0.374  0.291
Ac  0.531  0.209  0.126
Ac  0.584  0.709  0.678
Ac  0.969  0.594  0.178
Ac  0.322  0.791  0.416
Ac  0.094  0.916  0.126
Ac  0.594  0.969  0.678
Ac  0.709  0.584  0.178
Ac  0.791  0.469  0.374
Ac  0.822  0.906  0.031
Ac  0.126  0.709  0.531
Ac  0.374  0.406  0.084
Ac  0.084  0.906  0.374
Ac  0.416  0.126  0.594
Ac  0.084  0.178  0.209
Ac  0.469  0.678  0.094
Ac  0.822  0.916  0.291
Ac  0.126  0.416  0.094
Ac  0.374  0.969  0.791
Ac  0.594  0.626  0.416
Ac  0.906  0.822  0.531
Ac  0.791  0.322  0.916
Ac  0.406  0.374  0.584
Ac  0.094  0.178  0.469
Ac  0.209  0.678  0.084
Ac  0.178  0.084  0.709
Ac  0.626  0.031  0.209
Ac  0.874  0.584  0.906
Ac  0.531  0.322  0.906
Ac  0.584  0.874  0.406
Ac  0.916  0.822  0.791
Ac  0.916  0.094  0.626
Ac  0.874  0.291  0.469
Ac  0.178  0.094  0.969
Ac  0.626  0.594  0.916
Ac  0.406  0.031  0.322
Ac  0.291  0.416  0.822
Ac  0.209  0.531  0.626
Ac  0.906  0.084  0.874
Ac  0.678  0.209  0.584
Ac  0.469  0.791  0.874
Ac  0.031  0.406  0.822
Ac  0.416  0.291  0.322
Ac  0.031  0.626  0.709
Ac  0.678  0.469  0.594
Ac  0.291  0.874  0.969

Record 7
VASP calculation (GGA-PBE) on a relaxed Na3Ho3SbTe8 crystal.

Magnetization (μB/cell): 0.00
Formation energy (no corrections) (eV/atom): -1.03

Unit cell a=8.737 b=8.747 c=9.176 alpha=118.54 beta=89.99 gamma=119.98
Atoms (fractional coordinates):
Na  0.000  0.000  0.000
Na  0.000  0.500  0.000
Na  0.500  0.500  0.000
Ho  0.500  0.000  0.500
Ho  0.500  0.500  0.500
Ho  0.000  0.500  0.500
Sb  0.000  0.000  0.500
Te  0.256  0.512  0.269
Te  0.744  0.488  0.731
Te  0.758  0.516  0.272
Te  0.242  0.484  0.728
Te  0.758  0.013  0.272
Te  0.242  0.987  0.728
Te  0.255  0.013  0.272
Te  0.745  0.987  0.728

Record 8
VASP calculation (GGA-PBE) on a relaxed CoReCl4 crystal.

Magnetization (μB/cell): 9.28
Formation energy (no corrections) (eV/atom): 1.70

Unit cell a=5.805 b=5.805 c=5.805 alpha=60.00 beta=60.00 gamma=60.00
Atoms (fractional coordinates):
Co  0.750  0.750  0.750
Re  0.000  0.000  0.000
Cl  0.875  0.375  0.375
Cl  0.375  0.375  0.875
Cl  0.375  0.875  0.375
Cl  0.375  0.375  0.375

Record 9
VASP calculation (GGA-PBE) on a relaxed Pm2YTh2 crystal.

Offset from the most stable computed form (kJ/mol of formula units): 82
Magnetization (μB/cell): 0.00
Formation enthalpy at 0 K (eV/atom): 0.20

Unit cell a=9.614 b=9.614 c=3.657 alpha=90.00 beta=90.00 gamma=90.00
Atoms (fractional coordinates):
Pm  0.129  0.629  0.000
Pm  0.629  0.871  0.000
Pm  0.871  0.371  0.000
Pm  0.371  0.129  0.000
Y  0.000  0.000  0.000
Y  0.500  0.500  0.000
Th  0.330  0.830  0.500
Th  0.830  0.670  0.500
Th  0.670  0.170  0.500
Th  0.170  0.330  0.500

Record 10
VASP calculation (GGA-PBE) on a relaxed GeAuBr2F crystal.

Magnetization (μB/cell): 0.00
Formation energy (no corrections) (eV/atom): -0.09

Unit cell a=5.719 b=3.920 c=5.719 alpha=90.00 beta=90.00 gamma=90.00
Atoms (fractional coordinates):
Ge  0.000  0.500  0.000
Au  0.500  0.500  0.500
Br  0.000  0.000  0.500
Br  0.500  0.000  0.000
F  0.000  0.000  0.000

Record 11
VASP calculation (GGA-PBE) on a relaxed SbPdCl2 crystal.

Offset from the most stable computed form (kJ/mol of formula units): 39
Magnetization (μB/cell): 0.00
Formation energy (no corrections) (eV/atom): 0.00

Unit cell a=7.522 b=7.522 c=6.121 alpha=52.09 beta=52.09 gamma=90.00
Atoms (fractional coordinates):
Sb  0.000  0.000  0.000
Sb  0.750  0.250  0.500
Pd  0.500  0.500  0.000
Pd  0.250  0.750  0.500
Cl  0.594  0.125  0.250
Cl  0.156  0.625  0.250
Cl  0.375  0.406  0.750
Cl  0.875  0.844  0.750

Record 12
VASP calculation (GGA-PBE) on a relaxed RbTl2Au crystal.

Magnetization (μB/cell): 0.00
Formation enthalpy at 0 K (eV/atom): -0.08

Unit cell a=3.770 b=3.770 c=8.655 alpha=90.00 beta=90.00 gamma=90.00
Atoms (fractional coordinates):
Tl  0.000  0.000  0.812
Tl  0.000  0.000  0.188
Au  0.500  0.500  0.000
Rb  0.500  0.500  0.500

Record 13
VASP calculation (GGA-PBE) on a relaxed RuBr2Cl6 crystal.

Magnetization (μB/cell): 4.08
Formation energy (no corrections) (eV/atom): -0.23

Unit cell a=6.756 b=9.654 c=9.654 alpha=82.03 beta=88.05 gamma=88.05
Atoms (fractional coordinates):
Ru  0.250  0.929  0.071
Ru  0.750  0.071  0.929
Br  0.162  0.355  0.356
Br  0.338  0.644  0.645
Br  0.838  0.645  0.644
Br  0.662  0.356  0.355
Cl  0.410  0.222  0.490
Cl  0.090  0.510  0.778
Cl  0.590  0.778  0.510
Cl  0.910  0.490  0.222
Cl  0.877  0.091  0.709
Cl  0.623  0.291  0.909
Cl  0.123  0.909  0.291
Cl  0.377  0.709  0.091
Cl  0.052  0.147  0.017
Cl  0.448  0.983  0.853
Cl  0.948  0.853  0.983
Cl  0.552  0.017  0.147

Record 14
VASP calculation (GGA-PBE) on a relaxed PaMnAg crystal.

Magnetization (μB/cell): 0.00
Formation enthalpy at 0 K (eV/atom): 0.31

Unit cell a=4.536 b=4.536 c=7.883 alpha=73.28 beta=73.28 gamma=60.00
Atoms (fractional coordinates):
Mn  0.322  0.322  0.034
Mn  0.678  0.678  0.966
Ag  0.178  0.178  0.465
Ag  0.822  0.822  0.535
Pa  0.415  0.415  0.756
Pa  0.585  0.585  0.244

Record 15
VASP calculation (GGA-PBE) on a relaxed KNaHg2Sb2 crystal.

Magnetization (μB/cell): 0.00
Formation energy (no corrections) (eV/atom): -0.31

Unit cell a=4.857 b=4.857 c=9.459 alpha=90.00 beta=90.00 gamma=120.00
Atoms (fractional coordinates):
K  0.000  0.000  0.000
Na  0.000  0.000  0.500
Hg  0.667  0.333  0.690
Hg  0.333  0.667  0.310
Sb  0.667  0.333  0.262
Sb  0.333  0.667  0.738

Record 16
VASP calculation (GGA-PBE) on a relaxed LaIrBr2 crystal.

Offset from the most stable computed form (kJ/mol of formula units): 219
Magnetization (μB/cell): 1.88
Formation energy (no corrections) (eV/atom): -0.29

Unit cell a=5.547 b=5.547 c=5.547 alpha=130.17 beta=130.17 gamma=73.14
Atoms (fractional coordinates):
Ir  0.250  0.750  0.500
Br  0.000  0.000  0.000
Br  0.500  0.500  0.000
La  0.750  0.250  0.500

Record 17
VASP calculation (GGA-PBE) on a relaxed B crystal.

Offset from the most stable computed form (kJ/mol of formula units): 25
Magnetization (μB/cell): 0.00
Formation enthalpy at 0 K (eV/atom): 0.26

Unit cell a=3.720 b=5.399 c=3.406 alpha=90.00 beta=117.21 gamma=90.00
Atoms (fractional coordinates):
B  0.000  0.250  0.000
B  0.000  0.750  0.000
B  0.000  0.750  0.500
B  0.000  0.250  0.500
B  0.240  0.000  0.870
B  0.760  0.000  0.130
B  0.240  0.500  0.370
B  0.760  0.500  0.630

Record 18
VASP calculation (GGA-PBE) on a relaxed NpCoSnPd crystal.

Magnetization (μB/cell): 2.24
Formation enthalpy at 0 K (eV/atom): -0.14

Unit cell a=4.714 b=4.714 c=4.714 alpha=60.00 beta=60.00 gamma=60.00
Atoms (fractional coordinates):
Np  0.750  0.750  0.750
Co  0.500  0.500  0.500
Sn  0.250  0.250  0.250
Pd  0.000  0.000  0.000

Record 19
VASP calculation (GGA-PBE) on a relaxed TcMo2P crystal.

Magnetization (μB/cell): 0.00
Formation enthalpy at 0 K (eV/atom): 0.02

Unit cell a=5.049 b=5.049 c=5.049 alpha=137.51 beta=137.51 gamma=61.65
Atoms (fractional coordinates):
Tc  0.750  0.250  0.500
Mo  0.000  0.000  0.000
Mo  0.250  0.750  0.500
P  0.500  0.500  0.000

Record 20
VASP calculation (GGA-PBE) on a relaxed NdY2Er3Se6 crystal.

Magnetization (μB/cell): 0.00
Formation energy (no corrections) (eV/atom): -1.74

Unit cell a=4.064 b=8.232 c=9.150 alpha=103.59 beta=102.83 gamma=90.00
Atoms (fractional coordinates):
Nd  0.500  0.000  0.000
Y  0.835  0.671  0.671
Y  0.165  0.329  0.329
Er  0.500  0.500  0.000
Er  0.836  0.166  0.673
Er  0.164  0.834  0.327
Se  0.328  0.918  0.656
Se  0.667  0.586  0.333
Se  0.672  0.082  0.344
Se  0.000  0.262  0.999
Se  0.000  0.738  0.001
Se  0.333  0.414  0.667